Entry 1:
Material: TaMo2Cl
Method: DFT, meta-GGA SCAN
State: single point on PBEsol structure

Computed properties:
**Fermi-level density of states**: 0.77 states/eV/atom
**Symmetry**: No. 8
**ΔE_f (raw)**: 52.5 kJ/mol of atoms

Unit cell a=3.009 b=4.742 c=5.159 alpha=117.16 beta=106.96 gamma=90.00
Fractional coordinates of all 4 atoms:
Ta 0.529 0.507 0.058
Mo 0.745 0.208 0.490
Cl 0.254 0.831 0.507
Mo 0.972 0.954 0.945

***

Entry 2:
Material: ScSiAsP2
Method: DFT, meta-GGA SCAN
State: single point on PBEsol structure

Computed properties:
**Fermi-level density of states**: 0.59 states/eV/atom
**Symmetry**: No. 123
**ΔE_f (raw)**: 23.1 kJ/mol of atoms

Unit cell a=4.470 b=4.470 c=4.720 alpha=90.00 beta=90.00 gamma=90.00
Fractional coordinates of all 5 atoms:
As 0.000 0.000 0.500
Si 0.000 0.000 0.000
P 0.500 0.000 0.000
P 0.000 0.500 0.000
Sc 0.500 0.500 0.500

***

Entry 3:
Material: SbOsBr2
Method: DFT, meta-GGA SCAN
State: single point on PBEsol structure

Computed properties:
**Fermi-level density of states**: 1.02 states/eV/atom
**Symmetry**: No. 99
**ΔE_f (raw)**: 56.5 kJ/mol of atoms

Unit cell a=3.155 b=3.155 c=8.780 alpha=90.00 beta=90.00 gamma=89.99
Fractional coordinates of all 4 atoms:
Br 0.500 0.500 0.685
Os 0.000 0.000 0.488
Sb 0.500 0.500 0.303
Br 0.000 0.000 0.023

***

Entry 4:
Material: BeCr4Si
Method: DFT, meta-GGA SCAN
State: single point on PBEsol structure

Computed properties:
**Fermi-level density of states**: 0.77 states/eV/atom
**Symmetry**: No. 216
**ΔE_f (raw)**: 35.0 kJ/mol of atoms

Unit cell a=4.605 b=4.605 c=4.605 alpha=60.00 beta=60.00 gamma=60.00
Fractional coordinates of all 6 atoms:
Cr 0.626 0.626 0.626
Cr 0.626 0.122 0.626
Cr 0.122 0.626 0.626
Cr 0.626 0.626 0.122
Si 0.250 0.250 0.250
Be 0.000 0.000 0.000

***

Entry 5:
Material: YMgSi2
Method: DFT, meta-GGA SCAN
State: single point on PBEsol structure

Computed properties:
**Fermi-level density of states**: 0.47 states/eV/atom
**Symmetry**: No. 123
**ΔE_f (raw)**: -30.1 kJ/mol of atoms

Unit cell a=3.996 b=4.323 c=4.323 alpha=90.00 beta=90.00 gamma=90.00
Fractional coordinates of all 4 atoms:
Si 0.000 0.000 0.500
Si 0.000 0.500 0.000
Mg 0.500 0.000 0.000
Y 0.500 0.500 0.500

***

Entry 6:
Material: ZnOs3Au
Method: DFT, meta-GGA SCAN
State: single point on PBEsol structure

Computed properties:
**Energy relative to the elements**: 2.2826 eV/atom
**Fermi-level density of states**: 0.96 states/eV/atom
**Symmetry**: No. 221

Unit cell a=4.418 b=4.418 c=4.418 alpha=90.00 beta=90.00 gamma=90.00
Site moments in Bohr magnetons follow the coordinates.
Fractional coordinates of all 5 atoms:
Os 0.000 0.000 0.500  0.74
Os 0.500 0.000 0.000  0.74
Os 0.000 0.500 0.000  0.74
Zn 0.000 0.000 0.000  0.02
Au 0.500 0.500 0.500  0.10

***

Entry 7:
Material: TaPSe2
Method: DFT, meta-GGA SCAN
State: single point on PBEsol structure

Computed properties:
**Fermi-level density of states**: 0.50 states/eV/atom
**Symmetry**: No. 65
**ΔE_f (raw)**: 51.9 kJ/mol of atoms

Unit cell a=3.185 b=5.057 c=5.041 alpha=120.10 beta=90.00 gamma=90.00
Fractional coordinates of all 4 atoms:
Ta 0.500 0.000 0.000
Se 0.000 0.500 0.500
Se 0.000 0.000 0.500
P 0.500 0.500 0.000

***

Entry 8:
Material: NaCdSi2
Method: DFT, meta-GGA SCAN
State: single point on PBEsol structure

Computed properties:
**Fermi-level density of states**: 0.43 states/eV/atom
**Symmetry**: No. 122
**ΔE_f (raw)**: 44.7 kJ/mol of atoms

Unit cell a=4.144 b=4.144 c=10.155 alpha=101.77 beta=101.77 gamma=90.00
Fractional coordinates of all 8 atoms:
Si 0.953 0.375 0.250
Cd 0.250 0.750 0.500
Cd 0.000 0.000 0.000
Na 0.500 0.500 0.000
Na 0.750 0.250 0.500
Si 0.625 0.703 0.750
Si 0.125 0.047 0.750
Si 0.297 0.875 0.250

***

Entry 9:
Material: B2PtS
Method: DFT, meta-GGA SCAN
State: single point on PBEsol structure

Computed properties:
**Fermi-level density of states**: 0.11 states/eV/atom
**Symmetry**: No. 122
**ΔE_f (raw)**: -3.3 kJ/mol of atoms

Unit cell a=4.823 b=5.368 c=4.823 alpha=63.31 beta=90.00 gamma=116.69
Fractional coordinates of all 8 atoms:
Pt 0.000 0.000 0.000
B 0.375 0.250 0.155
B 0.875 0.250 0.595
S 0.500 0.000 0.500
B 0.155 0.750 0.875
B 0.595 0.750 0.375
Pt 0.750 0.500 0.750
S 0.250 0.500 0.250

***

Entry 10:
Material: ZrScSe
Method: DFT, meta-GGA SCAN
State: single point on PBEsol structure

Computed properties:
**Fermi-level density of states**: 0.85 states/eV/atom
**Symmetry**: No. 216
**ΔE_f (raw)**: -63.9 kJ/mol of atoms

Unit cell a=4.444 b=4.444 c=4.444 alpha=60.00 beta=60.00 gamma=60.00
Fractional coordinates of all 3 atoms:
Sc 0.500 0.500 0.500
Se 0.250 0.250 0.250
Zr 0.000 0.000 0.000

***

Entry 11:
Material: ZrTa2Cd
Method: DFT, meta-GGA SCAN
State: single point on PBEsol structure

Computed properties:
**Energy relative to the elements**: 0.2015 eV/atom
**Fermi-level density of states**: 0.85 states/eV/atom
**Symmetry**: No. 123

Unit cell a=2.830 b=2.830 c=9.475 alpha=90.00 beta=90.00 gamma=90.00
Fractional coordinates of all 4 atoms:
Ta 0.000 0.000 0.254
Cd 0.500 0.500 0.500
Zr 0.500 0.500 0.000
Ta 0.000 0.000 0.746

***

Entry 12:
Material: KCrS2O8
Method: DFT, meta-GGA SCAN
State: single point on PBEsol structure

Computed properties:
**Fermi-level density of states**: 0.00 states/eV/atom
**Symmetry**: No. 165
**ΔE_f (raw)**: -190.8 kJ/mol of atoms

Unit cell a=4.761 b=4.761 c=16.094 alpha=90.00 beta=90.00 gamma=120.00
Site moments in Bohr magnetons follow the coordinates.
Fractional coordinates of all 24 atoms:
K 0.000 0.000 0.750  0.00
O 0.705 0.646 0.073  0.01
O 0.705 0.059 0.573  0.01
Cr 0.000 0.000 0.000  2.80
O 0.333 0.667 0.805  0.00
O 0.295 0.941 0.427  0.01
S 0.667 0.333 0.104  0.01
K 0.000 0.000 0.250  0.00
O 0.941 0.295 0.073  0.01
O 0.667 0.333 0.695  0.00
O 0.646 0.705 0.427  0.01
O 0.646 0.941 0.927  0.01
O 0.941 0.646 0.573  0.01
O 0.059 0.705 0.927  0.01
O 0.354 0.059 0.073  0.01
S 0.333 0.667 0.896  0.01
O 0.354 0.295 0.573  0.01
O 0.059 0.354 0.427  0.01
O 0.333 0.667 0.305  0.00
S 0.333 0.667 0.396  0.01
S 0.667 0.333 0.604  0.01
O 0.667 0.333 0.195  0.00
Cr 0.000 0.000 0.500  2.80
O 0.295 0.354 0.927  0.01

***

> Among the records above, which one has the highest Fermi-level density of states?

SbOsBr2

***

> Which value of Fermi-level density of states does entry 7 give?

0.50 states/eV/atom

***

> Which formula does entry 9 have?

B2PtS